DFT (PBE-GGA) results for TbPr2Dy3Te6 after structural relaxation.

Cell lengths 9.9054, 9.9054, 8.9179 Å; angles 103.67, 103.67, 25.51 degrees
With the nearest neighbours (Å) after each atom.
Positions (direct):
Tb  0.0000  0.0000  0.0000  6 Te 3.09-3.13
Pr  0.3308  0.3308  0.6631  6 Te 3.17-3.25
Pr  0.6692  0.6692  0.3369  6 Te 3.17-3.25
Dy  0.0000  0.0000  0.5000  6 Te 3.04-3.12
Dy  0.3284  0.3284  0.1647  6 Te 3.06-3.14
Dy  0.6716  0.6716  0.8353  6 Te 3.06-3.14
Te  0.1620  0.1620  0.5918  3 Dy 3.04-3.06, 3 Pr 3.17-3.18
Te  0.1646  0.1646  0.0730  3 Dy 3.07, 1 Tb 3.09, 2 Pr 3.20
Te  0.4958  0.4958  0.2487  3 Dy 3.12-3.14, 2 Tb 3.13, 1 Pr 3.25
Te  0.5042  0.5042  0.7513  3 Dy 3.12-3.14, 2 Tb 3.13, 1 Pr 3.25
Te  0.8354  0.8354  0.9270  3 Dy 3.07, 1 Tb 3.09, 2 Pr 3.20
Te  0.8380  0.8380  0.4082  3 Dy 3.04-3.06, 3 Pr 3.17-3.18

Properties
* N(E_F): 6.43 states/eV per cell
* raw formation energy: -30.899 kcal/mol of atoms

---

DFT (PBE-GGA) results for Tb2Pr3DyTe6 after structural relaxation.

Cell lengths 9.9892, 9.9892, 9.0022 Å; angles 104.20, 104.20, 25.45 degrees
With the nearest neighbours (Å) after each atom.
Positions (direct):
Tb  0.1670  0.1670  0.3339  6 Te 3.09-3.10
Tb  0.8330  0.8330  0.6661  6 Te 3.09-3.10
Pr  0.1672  0.1672  0.8332  6 Te 3.20-3.21
Pr  0.5000  0.5000  0.5000  6 Te 3.20-3.21
Pr  0.8328  0.8328  0.1668  6 Te 3.20-3.21
Dy  0.5000  0.5000  0.0000  6 Te 3.08
Te  0.0028  0.0028  0.2414  2 Dy 3.08, 1 Tb 3.10, 3 Pr 3.21
Te  0.3306  0.3306  0.4242  3 Tb 3.09, 3 Pr 3.20
Te  0.3369  0.3369  0.9097  1 Dy 3.08, 2 Tb 3.09, 3 Pr 3.20-3.21
Te  0.6631  0.6631  0.0903  1 Dy 3.08, 2 Tb 3.09, 3 Pr 3.20-3.21
Te  0.6694  0.6694  0.5758  3 Tb 3.09, 3 Pr 3.20
Te  0.9972  0.9972  0.7586  2 Dy 3.08, 1 Tb 3.10, 3 Pr 3.21

Properties
* N(E_F): 6.04 states/eV per cell
* raw formation energy: -31.702 kcal/mol of atoms

---

DFT (PBE-GGA) results for Tb3PrDy3Te8 after structural relaxation.

Cell lengths 8.7082, 8.7082, 8.7082 Å; angles 60.02, 60.02, 60.02 degrees
With the nearest neighbours (Å) after each atom.
Positions (direct):
Tb  0.0000  0.5000  0.5000  6 Te 3.09
Tb  0.5000  0.0000  0.5000  6 Te 3.09
Tb  0.5000  0.5000  0.0000  6 Te 3.09
Pr  0.5000  0.5000  0.5000  6 Te 3.23
Dy  0.0000  0.0000  0.5000  6 Te 3.07-3.08
Dy  0.0000  0.5000  0.0000  6 Te 3.07-3.08
Dy  0.5000  0.0000  0.0000  6 Te 3.07-3.08
Te  0.2368  0.7622  0.7622  2 Dy 3.08, 2 Tb 3.09, 1 Pr 3.23
Te  0.2378  0.2378  0.7632  2 Dy 3.08, 2 Tb 3.09, 1 Pr 3.23
Te  0.2378  0.7632  0.2378  2 Dy 3.08, 2 Tb 3.09, 1 Pr 3.23
Te  0.2495  0.2495  0.2495  3 Dy 3.07, 3 Tb 3.09
Te  0.7505  0.7505  0.7505  3 Dy 3.07, 3 Tb 3.09
Te  0.7622  0.2368  0.7622  2 Dy 3.08, 2 Tb 3.09, 1 Pr 3.23
Te  0.7622  0.7622  0.2368  2 Dy 3.08, 2 Tb 3.09, 1 Pr 3.23
Te  0.7632  0.2378  0.2378  2 Dy 3.08, 2 Tb 3.09, 1 Pr 3.23

Properties
* N(E_F): 6.61 states/eV per cell
* raw formation energy: -31.878 kcal/mol of atoms